BaBeZn (PBE, optimized geometry); energy relative to the elements = 0.86 eV/atom; VASP energy = -1.45 eV per atom
1.0
0.0000 3.7183 3.7183
3.7183 0.0000 3.7183
3.7183 3.7183 0.0000
Ba Be Zn
1 1 1
Direct
0.0000 0.0000 0.0000
0.7500 0.7500 0.7500
0.2500 0.2500 0.2500